# 1
# PBE AgGeIN2, relaxed
# E_form (uncorrected) ... 1.7947 eV per atom
# D(E_F) ... 0.352 states/eV/atom
# Symmetry ... P4/mmm
# Calculated volume ... 115.6 Å³/f.u.
# Crystal system ... tetragonal
# Offset from the most stable computed form ... 648.7 meV/atom
data_AgGeIN2
_chemical_formula_sum 'Ag1 Ge1 I1 N2'
_space_group_name_H-M_alt 'P 1'
_space_group_IT_number 1
_cell_length_a 4.212
_cell_length_b 4.212
_cell_length_c 6.517
_cell_angle_alpha 90.00
_cell_angle_beta 90.00
_cell_angle_gamma 90.00
loop_
_space_group_symop_operation_xyz
'x,y,z'
loop_
_atom_site_label
_atom_site_type_symbol
_atom_site_fract_x
_atom_site_fract_y
_atom_site_fract_z
I1 I 0.000 0.000 0.500
Ge1 Ge 0.500 0.500 0.500
Ag1 Ag 0.000 0.000 0.000
N1 N 0.000 0.500 0.000
N2 N 0.500 0.000 0.000

# 2
# PBE Zn2InP, relaxed
# ΔE_f ... 0.255 eV per atom
# D(E_F) ... 0.426 states/eV/atom
# Symmetry ... Cmm2
# Calculated volume ... 74.9 Å³/f.u.
# Crystal system ... orthorhombic
data_Zn2InP
_chemical_formula_sum 'Zn2 In1 P1'
_space_group_name_H-M_alt 'P 1'
_space_group_IT_number 1
_cell_length_a 3.099
_cell_length_b 3.099
_cell_length_c 7.910
_cell_angle_alpha 90.00
_cell_angle_beta 90.00
_cell_angle_gamma 99.61
loop_
_space_group_symop_operation_xyz
'x,y,z'
loop_
_atom_site_label
_atom_site_type_symbol
_atom_site_fract_x
_atom_site_fract_y
_atom_site_fract_z
Zn1 Zn 0.000 0.000 0.010
Zn2 Zn 0.500 0.500 0.785
In1 In 0.000 0.000 0.498
P1 P 0.500 0.500 0.207